DFT (PBE) results for a relaxed structure of SrHf3Re. Values from VASP.

Properties
Space-group type   Pm-3m, No. 221
E above lowest polymorph   0 meV per atom

Cell and atoms, written as Quantum ESPRESSO input:
```
&SYSTEM
  ibrav = 0, nat = 5, ntyp = 3
/
ATOMIC_SPECIES
Re 186.21 Re.upf
Hf 178.49 Hf.upf
Sr 87.62 Sr.upf
ATOMIC_POSITIONS crystal
Re 0.000 0.000 0.000
Hf 0.000 0.500 0.000
Hf 0.000 0.000 0.500
Hf 0.500 0.000 0.000
Sr 0.500 0.500 0.500
CELL_PARAMETERS angstrom
5.169 0.000 0.000
0.000 5.169 0.000
0.000 0.000 5.169
```


DFT (PBE) results for a relaxed structure of SrHfRe2. Values from VASP.

Properties
Space-group type   I-42d, No. 122
E above lowest polymorph   267 meV per atom

Cell and atoms, written as Quantum ESPRESSO input:
```
&SYSTEM
  ibrav = 0, nat = 8, ntyp = 3
/
ATOMIC_SPECIES
Re 186.21 Re.upf
Hf 178.49 Hf.upf
Sr 87.62 Sr.upf
ATOMIC_POSITIONS crystal
Re 0.826 0.125 0.250
Re 0.924 0.625 0.250
Re 0.375 0.174 0.750
Re 0.875 0.076 0.750
Hf 0.000 0.000 0.000
Hf 0.750 0.250 0.500
Sr 0.500 0.500 0.000
Sr 0.250 0.750 0.500
CELL_PARAMETERS angstrom
4.875 0.000 0.000
0.000 4.875 0.000
2.438 2.438 9.294
```


DFT (PBE) results for a relaxed structure of Sr2HfRe. Values from VASP.

Properties
Space-group type   Fm-3m, No. 225
E above lowest polymorph   411 meV per atom

Cell and atoms, written as Quantum ESPRESSO input:
```
&SYSTEM
  ibrav = 0, nat = 4, ntyp = 3
/
ATOMIC_SPECIES
Re 186.21 Re.upf
Hf 178.49 Hf.upf
Sr 87.62 Sr.upf
ATOMIC_POSITIONS crystal
Re 0.500 0.500 0.500
Hf 0.000 0.000 0.000
Sr 0.250 0.250 0.250
Sr 0.750 0.750 0.750
CELL_PARAMETERS angstrom
0.000 3.760 3.760
3.760 0.000 3.760
3.760 3.760 0.000
```


DFT (PBE) results for a relaxed structure of Sr2HfRe2. Values from VASP.

Properties
Space-group type   P4/mbm, No. 127
E above lowest polymorph   526 meV per atom

Cell and atoms, written as Quantum ESPRESSO input:
```
&SYSTEM
  ibrav = 0, nat = 10, ntyp = 3
/
ATOMIC_SPECIES
Re 186.21 Re.upf
Hf 178.49 Hf.upf
Sr 87.62 Sr.upf
ATOMIC_POSITIONS crystal
Re 0.183 0.683 0.500
Re 0.683 0.817 0.500
Re 0.817 0.317 0.500
Re 0.317 0.183 0.500
Hf 0.000 0.000 0.000
Hf 0.500 0.500 0.000
Sr 0.380 0.880 0.000
Sr 0.880 0.620 0.000
Sr 0.620 0.120 0.000
Sr 0.120 0.380 0.000
CELL_PARAMETERS angstrom
9.141 0.000 0.000
0.000 9.141 0.000
0.000 0.000 2.775
```


DFT (PBE) results for a relaxed structure of SrHf2Re. Values from VASP.

Properties
Space-group type   Fm-3m, No. 225
E above lowest polymorph   0 meV per atom

Cell and atoms, written as Quantum ESPRESSO input:
```
&SYSTEM
  ibrav = 0, nat = 4, ntyp = 3
/
ATOMIC_SPECIES
Re 186.21 Re.upf
Hf 178.49 Hf.upf
Sr 87.62 Sr.upf
ATOMIC_POSITIONS crystal
Re 0.500 0.500 0.500
Hf 0.250 0.250 0.250
Hf 0.750 0.750 0.750
Sr 0.000 0.000 0.000
CELL_PARAMETERS angstrom
0.000 3.505 3.505
3.505 0.000 3.505
3.505 3.505 0.000
```


DFT (PBE) results for a relaxed structure of SrHfRe2. Values from VASP.

Properties
Space-group type   Fm-3m, No. 225
E above lowest polymorph   79 meV per atom

Cell and atoms, written as Quantum ESPRESSO input:
```
&SYSTEM
  ibrav = 0, nat = 4, ntyp = 3
/
ATOMIC_SPECIES
Re 186.21 Re.upf
Hf 178.49 Hf.upf
Sr 87.62 Sr.upf
ATOMIC_POSITIONS crystal
Re 0.250 0.250 0.250
Re 0.750 0.750 0.750
Hf 0.500 0.500 0.500
Sr 0.000 0.000 0.000
CELL_PARAMETERS angstrom
0.000 3.403 3.403
3.403 0.000 3.403
3.403 3.403 0.000
```


DFT (PBE) results for a relaxed structure of Sr2HfRe. Values from VASP.

Properties
Space-group type   I-42d, No. 122
E above lowest polymorph   0 meV per atom

Cell and atoms, written as Quantum ESPRESSO input:
```
&SYSTEM
  ibrav = 0, nat = 8, ntyp = 3
/
ATOMIC_SPECIES
Re 186.21 Re.upf
Hf 178.49 Hf.upf
Sr 87.62 Sr.upf
ATOMIC_POSITIONS crystal
Re 0.000 0.000 0.000
Re 0.750 0.250 0.500
Hf 0.500 0.500 0.000
Hf 0.250 0.750 0.500
Sr 0.787 0.125 0.250
Sr 0.963 0.625 0.250
Sr 0.375 0.213 0.750
Sr 0.875 0.037 0.750
CELL_PARAMETERS angstrom
-5.433 -9.273 -4.267
9.759 -3.301 -5.251
2.799 -7.575 -2.769
```


DFT (PBE) results for a relaxed structure of SrHf2Re. Values from VASP.

Properties
Space-group type   I4_1/amd, No. 141
E above lowest polymorph   627 meV per atom

Cell and atoms, written as Quantum ESPRESSO input:
```
&SYSTEM
  ibrav = 0, nat = 8, ntyp = 3
/
ATOMIC_SPECIES
Re 186.21 Re.upf
Hf 178.49 Hf.upf
Sr 87.62 Sr.upf
ATOMIC_POSITIONS crystal
Re 0.000 0.000 0.000
Re 0.750 0.250 0.500
Hf 0.875 0.125 0.250
Hf 0.875 0.625 0.250
Hf 0.375 0.125 0.750
Hf 0.875 0.125 0.750
Sr 0.500 0.500 0.000
Sr 0.250 0.750 0.500
CELL_PARAMETERS angstrom
-1.699 -4.325 3.292
1.302 -3.673 -4.152
7.680 -4.725 2.683
```


Among the records above, which one has the highest E above lowest polymorph?
number 8


Which formula does entry 8 have?
SrHf2Re


Among the records above, which one has the highest E above lowest polymorph?
number 8


Look up the E above lowest polymorph of the third one.
411 meV per atom